The following is a DFT calculation (PBE) of a relaxed structure of Zn2InCu8.

Geometry as CIF:
```
data_Zn2InCu8
_chemical_formula_sum 'Zn4 In2 Cu16'
_symmetry_space_group_name_H-M 'C 1 2/m 1'
_symmetry_Int_Tables_number 12
_symmetry_space_group_name_Hall '-C 2y'
_cell_length_a 6.822
_cell_length_b 13.055
_cell_length_c 4.467
_cell_angle_alpha 90.00
_cell_angle_beta 130.44
_cell_angle_gamma 90.00
loop_
_atom_site_label
_atom_site_type_symbol
_atom_site_fract_x
_atom_site_fract_y
_atom_site_fract_z
Zn1 Zn 0.000 0.185 0.000
In1 In 0.000 0.500 0.500
Cu1 Cu 0.000 0.299 0.500
Cu2 Cu 0.006 0.000 0.255
Cu3 Cu 0.238 0.363 0.236
```

Summary:
E_form (eV/f.u.): 0.5
Raw total energy (eV per atom): -3.410
Volume (Å³/f.u.): 151.4
Energy above the most stable polymorph in this dataset (meV per atom): 74